Here is an optimized crystal structure of KGaBr4 from Alexandria. Energies are from PBE.

Output
Formation energy from raw total energies   -1186 meV/atom
Calculated volume   498 Å³/cell
Space group   C2/c, No. 15
D(E_F)   0.00 states/eV/atom
DFT total energy   -17.93 eV/f.u.

a = 6.9345 Å, b = 6.9345 Å, c = 10.9130 Å
α = 83.54°, β = 83.54°, γ = 73.38°
Element x y z (fractional)
Br 0.7296 0.3348 0.5695
Br 0.8441 0.8072 0.7370
Br 0.2704 0.6652 0.4305
Br 0.1928 0.1559 0.7630
Br 0.1559 0.1928 0.2630
Br 0.8072 0.8441 0.2370
Br 0.6652 0.2704 0.9305
Br 0.3348 0.7296 0.0695
K 0.5000 0.0000 0.5000
K 0.0000 0.5000 0.0000
Ga 0.1427 0.8573 0.2500
Ga 0.8573 0.1427 0.7500